# 1
A plane-wave DFT calculation with GGA-PBEsol was carried out for ReAuBr after structural relaxation.

```
12
Lattice="6.149 0.000 0.000 0.000 6.149 0.000 0.000 0.000 6.149" Properties=species:S:1:pos:R:3 pbc="T T T"
Re 0.000 0.000 0.000
Re 0.000 3.074 3.074
Re 3.074 0.000 3.074
Re 3.074 3.074 0.000
Au 1.537 1.537 1.537
Au 1.537 4.612 4.612
Au 4.612 1.537 4.612
Au 4.612 4.612 1.537
Br 1.537 1.537 4.612
Br 1.537 4.612 1.537
Br 4.612 1.537 1.537
Br 4.612 4.612 4.612
```

Calculated values
As for the space group: F-43m, No. 216. As for the energy relative to the elements, uncorrected: 1193.1 meV per atom. The density of states at the Fermi level comes out at 0.85 states/eV per atom.

***

# 2
A plane-wave DFT calculation with GGA-PBEsol was carried out for ReAuBr2 after structural relaxation.

```
8
Lattice="2.968 0.000 0.000 0.000 4.765 0.000 0.000 0.000 12.696" Properties=species:S:1:pos:R:3 pbc="T T T"
Re 0.000 0.000 0.000
Re 1.484 2.382 6.348
Au 0.000 0.000 6.348
Au 1.484 2.382 0.000
Br 0.000 2.382 4.292
Br 0.000 2.382 8.404
Br 1.484 0.000 2.056
Br 1.484 0.000 10.641
```

Calculated values
As for the space group: Immm, No. 71. Its energy above the most stable polymorph in this dataset is 0 meV/atom. As for the energy relative to the elements, uncorrected: 416.3 meV per atom. The density of states at the Fermi level comes out at 0.70 states/eV per atom.

***

# 3
A plane-wave DFT calculation with GGA-PBEsol was carried out for ReAuBr2 after structural relaxation.

```
4
Lattice="4.813 0.000 0.000 0.000 4.813 0.000 0.000 0.000 3.149" Properties=species:S:1:pos:R:3 pbc="T T T"
Re 0.000 0.000 0.000
Au 2.406 2.406 0.000
Br 0.000 2.406 1.575
Br 2.406 0.000 1.575
```

Calculated values
As for the space group: P4/mmm, No. 123. Its energy above the most stable polymorph in this dataset is 879 meV/atom. As for the energy relative to the elements, uncorrected: 1294.9 meV per atom. The density of states at the Fermi level comes out at 0.97 states/eV per atom.

***

# 4
A plane-wave DFT calculation with GGA-PBEsol was carried out for RhAu2Br after structural relaxation.

```
4
Lattice="5.112 0.000 0.000 0.000 5.112 0.000 0.000 0.000 2.707" Properties=species:S:1:pos:R:3 pbc="T T T"
Rh 0.000 0.000 0.000
Au 0.000 2.556 1.353
Au 2.556 0.000 1.353
Br 2.556 2.556 0.000
```

Calculated values
As for the space group: P4/mmm, No. 123. Its energy above the most stable polymorph in this dataset is 397 meV/atom. As for the energy relative to the elements, uncorrected: 675.4 meV per atom. The density of states at the Fermi level comes out at 0.99 states/eV per atom.

***

# 5
A plane-wave DFT calculation with GGA-PBEsol was carried out for Rh2AuBr after structural relaxation.

```
8
Lattice="6.581 0.000 0.000 0.000 6.597 0.000 0.000 0.000 2.902" Properties=species:S:1:pos:R:3 pbc="T T T"
Rh 1.645 1.649 0.000
Rh 1.645 4.948 0.000
Rh 4.936 1.649 0.000
Rh 4.936 4.948 0.000
Au 0.000 0.000 1.451
Au 3.291 3.298 1.451
Br 0.000 3.298 1.451
Br 3.291 0.000 1.451
```

Calculated values
As for the space group: Cmmm, No. 65. Its energy above the most stable polymorph in this dataset is 57 meV/atom. As for the energy relative to the elements, uncorrected: 550.3 meV per atom. The density of states at the Fermi level comes out at 1.29 states/eV per atom.

***

# 6
A plane-wave DFT calculation with GGA-PBEsol was carried out for Rh2AuBr after structural relaxation.

```
16
Lattice="6.355 0.000 0.000 0.000 6.355 0.000 0.000 0.000 6.355" Properties=species:S:1:pos:R:3 pbc="T T T"
Rh 0.000 0.000 0.000
Rh 0.000 3.177 3.177
Rh 1.589 1.589 1.589
Rh 1.589 4.766 4.766
Rh 3.177 0.000 3.177
Rh 3.177 3.177 0.000
Rh 4.766 1.589 4.766
Rh 4.766 4.766 1.589
Au 0.000 0.000 3.177
Au 0.000 3.177 0.000
Au 3.177 0.000 0.000
Au 3.177 3.177 3.177
Br 1.589 1.589 4.766
Br 1.589 4.766 1.589
Br 4.766 1.589 1.589
Br 4.766 4.766 4.766
```

Calculated values
As for the space group: F-43m, No. 216. Its energy above the most stable polymorph in this dataset is 247 meV/atom. As for the energy relative to the elements, uncorrected: 740.7 meV per atom. The density of states at the Fermi level comes out at 1.55 states/eV per atom.

***

# 7
A plane-wave DFT calculation with GGA-PBEsol was carried out for RhAuBr after structural relaxation.

```
12
Lattice="6.155 0.000 0.000 0.000 6.155 0.000 0.000 0.000 6.155" Properties=species:S:1:pos:R:3 pbc="T T T"
Rh 0.000 0.000 0.000
Rh 0.000 3.077 3.077
Rh 3.077 0.000 3.077
Rh 3.077 3.077 0.000
Au 0.000 0.000 3.077
Au 0.000 3.077 0.000
Au 3.077 0.000 0.000
Au 3.077 3.077 3.077
Br 1.539 1.539 1.539
Br 1.539 4.616 4.616
Br 4.616 1.539 4.616
Br 4.616 4.616 1.539
```

Calculated values
As for the space group: F-43m, No. 216. As for the energy relative to the elements, uncorrected: 992.0 meV per atom. The density of states at the Fermi level comes out at 1.33 states/eV per atom.

***

# 8
A plane-wave DFT calculation with GGA-PBEsol was carried out for Rh3AuBr after structural relaxation.

```
5
Lattice="4.841 0.000 0.000 0.000 4.841 0.000 0.000 0.000 4.841" Properties=species:S:1:pos:R:3 pbc="T T T"
Rh 0.000 0.000 2.421
Rh 0.000 2.421 0.000
Rh 2.421 0.000 0.000
Au 0.000 0.000 0.000
Br 2.421 2.421 2.421
```

Calculated values
As for the space group: Pm-3m, No. 221. As for the energy relative to the elements, uncorrected: 1813.5 meV per atom. The density of states at the Fermi level comes out at 2.89 states/eV per atom.

***

# 9
A plane-wave DFT calculation with GGA-PBEsol was carried out for Rh2AuBr2 after structural relaxation.

```
10
Lattice="3.546 0.000 0.000 0.000 3.546 0.000 0.000 0.000 15.449" Properties=species:S:1:pos:R:3 pbc="T T T"
Rh 0.000 1.773 3.862
Rh 0.000 1.773 11.587
Rh 1.773 0.000 3.862
Rh 1.773 0.000 11.587
Au 0.000 0.000 0.000
Au 1.773 1.773 7.725
Br 0.000 0.000 5.962
Br 0.000 0.000 9.487
Br 1.773 1.773 1.762
Br 1.773 1.773 13.687
```

Calculated values
As for the space group: I4/mmm, No. 139. As for the energy relative to the elements, uncorrected: 666.9 meV per atom. The density of states at the Fermi level comes out at 0.92 states/eV per atom.

***

# 10
A plane-wave DFT calculation with GGA-PBEsol was carried out for Rh2AuBr after structural relaxation.

```
8
Lattice="2.862 0.000 0.000 0.000 4.654 0.000 0.000 0.000 9.634" Properties=species:S:1:pos:R:3 pbc="T T T"
Rh 0.000 0.000 0.000
Rh 0.000 2.327 2.581
Rh 1.431 0.000 7.399
Rh 1.431 2.327 4.817
Au 0.000 2.327 7.343
Au 1.431 0.000 2.526
Br 0.000 0.000 5.235
Br 1.431 2.327 0.418
```

Calculated values
As for the space group: Imm2, No. 44. Its energy above the most stable polymorph in this dataset is 14 meV/atom. As for the energy relative to the elements, uncorrected: 507.3 meV per atom. The density of states at the Fermi level comes out at 1.13 states/eV per atom.

***

# 11
A plane-wave DFT calculation with GGA-PBEsol was carried out for Rh2AuBr after structural relaxation.

```
8
Lattice="2.806 0.000 0.000 0.000 4.915 0.000 0.000 0.000 9.658" Properties=species:S:1:pos:R:3 pbc="T T T"
Rh 0.000 0.000 0.000
Rh 0.000 2.457 2.124
Rh 1.403 0.000 2.124
Rh 1.403 2.457 0.000
Au 0.000 0.000 4.499
Au 1.403 2.457 4.499
Br 0.000 2.457 7.454
Br 1.403 0.000 7.454
```

Calculated values
As for the space group: Cmm2, No. 35. Its energy above the most stable polymorph in this dataset is 0 meV/atom. As for the energy relative to the elements, uncorrected: 493.2 meV per atom. The density of states at the Fermi level comes out at 1.23 states/eV per atom.

***

# 12
A plane-wave DFT calculation with GGA-PBEsol was carried out for RhAu2Br after structural relaxation.

```
8
Lattice="8.649 0.000 0.000 0.000 3.181 0.000 -1.389 0.000 5.964" Properties=species:S:1:pos:R:3 pbc="T T T"
Rh 0.000 0.000 0.000
Rh 4.325 1.591 0.000
Au 1.048 0.000 4.938
Au 3.415 0.000 3.708
Au 5.372 1.591 4.938
Au 7.740 1.591 3.708
Br 0.690 1.591 1.646
Br 5.014 0.000 1.646
```

Calculated values
As for the space group: Cm, No. 8. Its energy above the most stable polymorph in this dataset is 0 meV/atom. As for the energy relative to the elements, uncorrected: 278.4 meV per atom. The density of states at the Fermi level comes out at 0.42 states/eV per atom.